No. 1
This record from Alexandria via LeMat-Bulk describes ZrSiAs2 after structural relaxation. The functional is PBE-GGA.

```
ZrSiAs2
1.0
-0.775 -3.522 0.293
2.477 -0.755 -2.527
3.922 -0.530 4.002
Zr As Si
1 2 1
Direct
0.500 0.500 0.750
0.000 0.000 0.997
0.000 0.000 0.503
0.500 0.500 0.250
```

Summary:
The uncorrected formation energy comes out at -1.18 eV/f.u. The value obtained for the theoretical density is 6.1 Mg/m³. Its energy above the most stable polymorph in this dataset is 337.7 meV per atom. The total energy comes out at -6.113 eV per atom.

No. 2
This record from Alexandria via LeMat-Bulk describes YCuC after structural relaxation. The functional is PBE-GGA.

```
YCuC
1.0
-3.515 -4.171 -3.697
-1.221 -2.591 4.084
-4.390 3.112 0.662
C Cu Y
4 4 4
Direct
0.176 0.250 0.571
0.676 0.250 0.929
0.824 0.750 0.429
0.324 0.750 0.071
0.537 0.750 0.339
0.037 0.750 0.161
0.963 0.250 0.839
0.463 0.250 0.661
0.173 0.750 0.647
0.827 0.250 0.353
0.673 0.750 0.853
0.327 0.250 0.147
```

Summary:
The value obtained for the theoretical density is 6.1 Mg/m³. The total energy comes out at -6.652 eV per atom. Its calculated formation energy is -0.057 eV/atom.

No. 3
This record from Alexandria via LeMat-Bulk describes Ac6Si2Se3N after structural relaxation. The functional is PBE-GGA.

```
Ac6Si2Se3N
1.0
-6.223 3.349 -2.861
0.488 -7.607 0.183
-1.177 1.386 7.586
Si Ac Se N
2 6 3 1
Direct
0.334 0.666 0.000
0.666 0.334 0.000
0.387 0.075 0.225
0.075 0.387 0.225
0.925 0.613 0.775
0.613 0.925 0.775
0.765 0.765 0.225
0.235 0.235 0.775
0.500 0.500 0.500
0.173 0.827 0.500
0.827 0.173 0.500
0.000 0.000 0.000
```

Summary:
The uncorrected formation energy comes out at -15.57 eV/f.u. The value obtained for the theoretical density is 7.5 Mg/m³. The total energy comes out at -5.821 eV per atom.

No. 4
This record from Alexandria via LeMat-Bulk describes PaN2Cl4 after structural relaxation. The functional is PBE-GGA.

```
PaN2Cl4
1.0
4.929 0.000 0.894
2.384 4.315 0.894
0.380 0.224 11.940
Pa Cl N
1 4 2
Direct
0.000 0.000 0.000
0.073 0.073 0.782
0.680 0.680 0.960
0.320 0.320 0.040
0.927 0.927 0.218
0.202 0.202 0.394
0.798 0.798 0.606
```

Summary:
The uncorrected formation energy comes out at 1.57 eV/f.u. The value obtained for the theoretical density is 2.6 Mg/m³. The total energy comes out at -4.566 eV per atom.

No. 5
This record from Alexandria via LeMat-Bulk describes Rb2Si2Au after structural relaxation. The functional is PBE-GGA.

```
Rb2Si2Au
1.0
7.096 0.000 0.000
0.000 7.096 0.000
3.548 3.548 3.430
Rb Au Si
2 1 2
Direct
0.750 0.250 0.500
0.250 0.750 0.500
0.000 0.000 0.000
0.343 0.343 0.314
0.657 0.657 0.686
```

Summary:
The uncorrected formation energy comes out at 0.66 eV/f.u. The value obtained for the theoretical density is 4.1 Mg/m³. Its energy above the most stable polymorph in this dataset is 53.6 meV per atom. The total energy comes out at -3.079 eV per atom.

No. 6
This record from Alexandria via LeMat-Bulk describes CaNdCuGe after structural relaxation. The functional is PBE-GGA.

```
CaNdCuGe
1.0
-2.117 0.074 4.654
0.187 -4.165 2.960
2.971 -0.047 4.161
Cu Nd Ge Ca
1 1 1 1
Direct
0.750 0.750 0.750
0.500 0.500 0.500
0.250 0.250 0.250
0.000 0.000 0.000
```

Summary:
The value obtained for the theoretical density is 5.6 Mg/m³. The total energy comes out at -4.317 eV per atom. Its calculated formation energy is -0.446 eV/atom.

No. 7
This record from Alexandria via LeMat-Bulk describes ThBeNb after structural relaxation. The functional is PBE-GGA.

```
ThBeNb
1.0
-3.581 -2.663 1.658
4.312 -4.659 1.831
-1.638 4.823 4.208
Nb Th Be
3 3 3
Direct
0.000 0.000 0.000
0.500 0.333 0.667
0.500 0.667 0.333
0.000 0.478 0.000
0.000 0.522 0.522
0.000 0.000 0.478
0.500 0.198 0.198
0.500 0.000 0.802
0.500 0.802 0.000
```

Summary:
The value obtained for the theoretical density is 9.2 Mg/m³. The total energy comes out at -6.705 eV per atom. Its calculated formation energy is 0.367 eV/atom.

No. 8
This record from Alexandria via LeMat-Bulk describes In4SbPd15 after structural relaxation. The functional is PBE-GGA.

```
In4SbPd15
1.0
-3.822 1.151 0.635
-1.201 -3.851 -0.252
2.676 -2.146 19.991
In Pd Sb
4 15 1
Direct
0.000 0.000 0.400
0.000 0.000 0.798
0.000 0.000 0.600
0.000 0.000 0.202
0.500 0.500 0.600
0.000 0.500 0.700
0.500 0.500 0.000
0.000 0.500 0.901
0.500 0.000 0.700
0.000 0.500 0.300
0.500 0.000 0.901
0.500 0.000 0.500
0.000 0.500 0.500
0.500 0.500 0.801
0.500 0.500 0.199
0.500 0.000 0.099
0.500 0.500 0.400
0.500 0.000 0.300
0.000 0.500 0.099
0.000 0.000 0.000
```

Summary:
The uncorrected formation energy comes out at -8.62 eV/f.u. The value obtained for the theoretical density is 10.9 Mg/m³. The total energy comes out at -5.080 eV per atom.